# Na2AsIrW | the Alexandria database | PBEsol | optimized geometry
data_Na2AsIrW
_symmetry_space_group_name_H-M 'P 4/m m m'
_symmetry_Int_Tables_number 123
_symmetry_space_group_name_Hall '-P 4 2'
_cell_length_a 4.666
_cell_length_b 4.666
_cell_length_c 4.747
_cell_angle_alpha 90.00
_cell_angle_beta 90.00
_cell_angle_gamma 90.00
loop_
_atom_site_label
_atom_site_fract_x
_atom_site_fract_y
_atom_site_fract_z
Na1 0.000 0.500 0.000
As1 0.000 0.000 0.000
Ir1 0.500 0.500 0.500
W1 0.000 0.000 0.500
# E_form ... 1481 meV/atom